No. 1
Compound: AlZn2Cr2
Source: the Alexandria database
Functional: SCAN
Structure: single point on PBEsol structure

Cell lengths 3.462, 3.462, 6.396 Å; angles 105.70, 105.70, 90.00 degrees
Last column: magnetic moment on the atom in μB.
Fractional coordinates of all 5 atoms:
1 Al 0.000 0.000 0.000  -0.04
2 Zn 0.250 0.750 0.500  0.00
3 Zn 0.750 0.250 0.500  0.00
4 Cr 0.583 0.583 0.167  0.55
5 Cr 0.417 0.417 0.833  0.55

Properties
density = 6136 kg/m³
space group = I4/mmm
ΔH_f (0 K) = 0.449 eV per atom



No. 2
Compound: AlZnCr
Source: the Alexandria database
Functional: SCAN
Structure: single point on PBEsol structure

Cell lengths 2.900, 2.900, 5.282 Å; angles 105.93, 105.93, 90.00 degrees
Last column: magnetic moment on the atom in μB.
Fractional coordinates of all 3 atoms:
1 Al 0.007 0.007 0.015  -0.05
2 Zn 0.327 0.327 0.654  -0.02
3 Cr 0.665 0.665 0.331  2.67

Properties
density = 5857 kg/m³
space group = I4mm
ΔH_f (0 K) = -0.051 eV per atom



No. 3
Compound: AlZnCr
Source: the Alexandria database
Functional: SCAN
Structure: single point on PBEsol structure

Cell lengths 4.145, 4.145, 4.145 Å; angles 60.00, 60.00, 60.00 degrees
Last column: magnetic moment on the atom in μB.
Fractional coordinates of all 3 atoms:
1 Cr 0.250 0.250 0.250  3.30
2 Al 0.500 0.500 0.500  -0.06
3 Zn 0.000 0.000 0.000  -0.03

Properties
density = 4760 kg/m³
space group = F-43m
ΔH_f (0 K) = 0.343 eV per atom



No. 4
Compound: Al4ZnCr
Source: the Alexandria database
Functional: SCAN
Structure: single point on PBEsol structure

Cell lengths 5.088, 5.088, 5.088 Å; angles 60.00, 60.00, 60.00 degrees
Last column: magnetic moment on the atom in μB.
Fractional coordinates of all 6 atoms:
1 Al 0.376 0.873 0.376  -0.07
2 Al 0.376 0.376 0.873  -0.07
3 Al 0.873 0.376 0.376  -0.07
4 Al 0.376 0.376 0.376  -0.07
5 Cr 0.750 0.750 0.750  3.28
6 Zn 0.000 0.000 0.000  -0.05

Properties
density = 4018 kg/m³
space group = F-43m
ΔH_f (0 K) = 0.168 eV per atom



No. 5
Compound: AlZnCr2
Source: the Alexandria database
Functional: SCAN
Structure: single point on PBEsol structure

Cell lengths 4.150, 4.150, 4.150 Å; angles 60.00, 60.00, 60.00 degrees
Last column: magnetic moment on the atom in μB.
Fractional coordinates of all 4 atoms:
1 Zn 0.500 0.500 0.500  0.05
2 Cr 0.750 0.750 0.750  2.99
3 Cr 0.000 0.000 0.000  -2.47
4 Al 0.250 0.250 0.250  -0.01

Properties
density = 6450 kg/m³
space group = F-43m
ΔH_f (0 K) = -0.112 eV per atom



No. 6
Compound: AlZnCr2
Source: the Alexandria database
Functional: SCAN
Structure: single point on PBEsol structure

Cell lengths 2.553, 4.089, 4.793 Å; angles 90.00, 96.57, 90.00 degrees
Fractional coordinates of all 4 atoms:
1 Cr 0.801 0.500 0.241
2 Cr 0.949 0.000 0.009
3 Zn 0.439 0.000 0.488
4 Al 0.312 0.500 0.763

Properties
density = 6562 kg/m³
space group = Pm
ΔH_f (0 K) = 0.006 eV per atom



No. 7
Compound: AlZn2Cr
Source: the Alexandria database
Functional: SCAN
Structure: single point on PBEsol structure

Cell lengths 2.645, 4.678, 4.678 Å; angles 113.42, 90.00, 90.00 degrees
Last column: magnetic moment on the atom in μB.
Fractional coordinates of all 4 atoms:
1 Al 0.500 0.000 0.000  -0.02
2 Cr 0.500 0.500 0.500  1.11
3 Zn 0.000 0.500 0.000  -0.03
4 Zn 0.000 0.000 0.500  -0.03

Properties
density = 6559 kg/m³
space group = Cmmm
ΔH_f (0 K) = 0.076 eV per atom



No. 8
Compound: ZrAl2Cr
Source: the Alexandria database
Functional: SCAN
Structure: single point on PBEsol structure

Cell lengths 3.106, 3.106, 6.719 Å; angles 90.00, 90.00, 90.00 degrees
Last column: magnetic moment on the atom in μB.
Fractional coordinates of all 4 atoms:
1 Zr 0.500 0.500 0.730  -0.16
2 Cr 0.000 0.000 0.468  2.41
3 Al 0.000 0.000 0.028  0.00
4 Al 0.500 0.500 0.273  -0.05

Properties
density = 5050 kg/m³
space group = P4mm
ΔH_f (0 K) = -0.176 eV per atom



No. 9
Compound: ZrAl2Cr
Source: the Alexandria database
Functional: SCAN
Structure: single point on PBEsol structure

Cell lengths 4.493, 4.493, 4.493 Å; angles 60.00, 60.00, 60.00 degrees
Last column: magnetic moment on the atom in μB.
Fractional coordinates of all 4 atoms:
1 Al 0.750 0.750 0.750  -0.02
2 Al 0.250 0.250 0.250  -0.02
3 Zr 0.500 0.500 0.500  0.12
4 Cr 0.000 0.000 0.000  3.44

Properties
density = 5104 kg/m³
space group = Fm-3m
ΔH_f (0 K) = -0.193 eV per atom



No. 10
Compound: ZrAl2Cr
Source: the Alexandria database
Functional: SCAN
Structure: single point on PBEsol structure

Cell lengths 2.912, 4.938, 4.938 Å; angles 112.20, 90.00, 90.00 degrees
Last column: magnetic moment on the atom in μB.
Fractional coordinates of all 4 atoms:
1 Cr 0.500 0.000 0.000  3.21
2 Zr 0.500 0.500 0.500  -0.17
3 Al 0.000 0.000 0.500  -0.04
4 Al 0.000 0.500 0.000  -0.04

Properties
density = 4982 kg/m³
space group = Cmmm
ΔH_f (0 K) = -0.191 eV per atom



No. 11
Compound: ZrAlCr
Source: the Alexandria database
Functional: SCAN
Structure: single point on PBEsol structure

Cell lengths 3.109, 3.109, 5.599 Å; angles 106.12, 106.12, 90.00 degrees
Last column: magnetic moment on the atom in μB.
Fractional coordinates of all 3 atoms:
1 Cr 0.656 0.656 0.312  2.64
2 Zr 0.323 0.323 0.646  -0.29
3 Al 0.021 0.021 0.043  -0.03

Properties
density = 5680 kg/m³
space group = I4mm
ΔH_f (0 K) = -0.215 eV per atom



No. 12
Compound: ZrAl2Cr2
Source: the Alexandria database
Functional: SCAN
Structure: single point on PBEsol structure

Cell lengths 3.578, 3.578, 6.458 Å; angles 106.08, 106.08, 90.00 degrees
Fractional coordinates of all 5 atoms:
1 Cr 0.250 0.750 0.500
2 Cr 0.750 0.250 0.500
3 Al 0.605 0.605 0.209
4 Al 0.395 0.395 0.791
5 Zr 0.000 0.000 0.000

Properties
density = 5441 kg/m³
space group = I4/mmm
ΔH_f (0 K) = -0.004 eV per atom



No. 13
Compound: Zr2AlCr
Source: the Alexandria database
Functional: SCAN
Structure: single point on PBEsol structure

Cell lengths 3.046, 3.046, 9.315 Å; angles 80.59, 80.59, 60.00 degrees
Last column: magnetic moment on the atom in μB.
Fractional coordinates of all 4 atoms:
1 Al 0.508 0.508 0.475  -0.04
2 Zr 0.753 0.753 0.741  0.03
3 Zr 0.991 0.991 0.026  -0.24
4 Cr 0.248 0.248 0.257  2.97

Properties
density = 5907 kg/m³
space group = R3m
ΔH_f (0 K) = 0.142 eV per atom



No. 14
Compound: ZrAl2Cr
Source: the Alexandria database
Functional: SCAN
Structure: single point on PBEsol structure

Cell lengths 3.010, 3.010, 7.080 Å; angles 90.00, 90.00, 90.00 degrees
Last column: magnetic moment on the atom in μB.
Fractional coordinates of all 4 atoms:
1 Al 0.000 0.000 0.210  -0.02
2 Al 0.000 0.000 0.790  -0.02
3 Zr 0.500 0.500 0.500  0.29
4 Cr 0.500 0.500 0.000  2.90

Properties
density = 5106 kg/m³
space group = P4/mmm
ΔH_f (0 K) = -0.370 eV per atom



No. 15
Compound: CsAlCuF6
Source: the Alexandria database
Functional: SCAN
Structure: single point on PBEsol structure

Cell lengths 7.105, 7.133, 7.100 Å; angles 119.85, 90.00, 119.87 degrees
Last column: magnetic moment on the atom in μB.
Fractional coordinates of all 18 atoms:
1 Cs 0.629 0.259 0.379  0.00
2 Cs 0.371 0.741 0.621  0.00
3 F 0.302 0.243 0.084  0.01
4 F 0.326 0.651 0.076  0.11
5 F 0.060 0.757 0.341  0.01
6 F 0.302 0.243 0.659  0.01
7 F 0.674 0.349 0.924  0.11
8 F 0.940 0.243 0.659  0.01
9 F 0.698 0.757 0.341  0.01
10 F 0.954 0.909 0.704  0.00
11 F 0.046 0.091 0.296  0.00
12 F 0.940 0.243 0.084  0.01
13 F 0.698 0.757 0.916  0.01
14 F 0.060 0.757 0.916  0.01
15 Al 0.000 0.000 0.500  0.00
16 Al 0.000 0.000 0.000  0.00
17 Cu 0.000 0.500 0.000  0.83
18 Cu 0.500 0.500 0.000  0.83

Properties
uncorrected formation energy = -70.3 kcal/mol of atoms
density = 4385 kg/m³
space group = Imma



No. 16
Compound: CsAlCuF6
Source: the Alexandria database
Functional: SCAN
Structure: single point on PBEsol structure

Cell lengths 7.034, 7.102, 10.065 Å; angles 90.00, 90.00, 90.00 degrees
Last column: magnetic moment on the atom in μB.
Fractional coordinates of all 36 atoms:
1 F 0.464 0.750 0.173  0.11
2 F 0.291 0.947 0.403  0.01
3 F 0.536 0.250 0.827  0.11
4 F 0.963 0.250 0.040  0.00
5 F 0.209 0.447 0.903  0.01
6 F 0.709 0.053 0.597  0.01
7 F 0.291 0.553 0.403  0.01
8 F 0.036 0.250 0.673  0.11
9 F 0.352 0.020 0.645  0.02
10 F 0.648 0.980 0.355  0.02
11 F 0.148 0.980 0.145  0.02
12 F 0.852 0.020 0.855  0.02
13 F 0.964 0.750 0.327  0.11
14 F 0.148 0.520 0.145  0.02
15 F 0.352 0.480 0.645  0.02
16 F 0.791 0.947 0.097  0.01
17 F 0.648 0.520 0.355  0.02
18 F 0.709 0.447 0.597  0.01
19 F 0.852 0.480 0.855  0.02
20 F 0.463 0.250 0.460  0.00
21 F 0.209 0.053 0.903  0.01
22 F 0.537 0.750 0.540  0.00
23 F 0.037 0.750 0.960  0.00
24 F 0.791 0.553 0.097  0.01
25 Cu 0.220 0.750 0.259  0.83
26 Cu 0.280 0.250 0.759  0.83
27 Cu 0.720 0.750 0.241  0.83
28 Cu 0.780 0.250 0.741  0.83
29 Al 0.000 0.000 0.000  0.00
30 Al 0.000 0.500 0.000  0.00
31 Al 0.500 0.000 0.500  0.00
32 Al 0.500 0.500 0.500  0.00
33 Cs 0.013 0.750 0.628  0.00
34 Cs 0.513 0.750 0.872  0.00
35 Cs 0.487 0.250 0.128  0.00
36 Cs 0.987 0.250 0.372  0.00

Properties
uncorrected formation energy = -70.4 kcal/mol of atoms
density = 4458 kg/m³
space group = Pnma



No. 17
Compound: CsAlF4
Source: the Alexandria database
Functional: SCAN
Structure: single point on PBEsol structure

Cell lengths 3.714, 9.398, 9.398 Å; angles 120.00, 90.00, 90.00 degrees
Fractional coordinates of all 18 atoms:
1 F 0.000 0.159 0.733
2 F 0.000 0.841 0.574
3 F 0.000 0.574 0.841
4 F 0.000 0.000 0.157
5 F 0.500 0.000 0.789
6 F 0.000 0.267 0.426
7 F 0.000 0.426 0.267
8 F 0.000 0.157 0.000
9 F 0.000 0.733 0.159
10 F 0.500 0.211 0.211
11 F 0.500 0.789 0.000
12 F 0.000 0.843 0.843
13 Cs 0.500 0.000 0.431
14 Cs 0.500 0.569 0.569
15 Cs 0.500 0.431 0.000
16 Al 0.000 0.780 0.000
17 Al 0.000 0.220 0.220
18 Al 0.000 0.000 0.780

Properties
uncorrected formation energy = -83.5 kcal/mol of atoms
density = 4137 kg/m³
space group = P-62m



No. 18
Compound: CsAlF4
Source: the Alexandria database
Functional: SCAN
Structure: single point on PBEsol structure

Cell lengths 6.738, 10.563, 17.475 Å; angles 90.00, 90.00, 90.00 degrees
Last column: magnetic moment on the atom in μB.
Fractional coordinates of all 72 atoms:
1 Al 0.750 0.263 0.924  0.00
2 Al 0.750 0.200 0.128  0.00
3 Al 0.500 0.000 0.000  0.00
4 Al 0.000 0.000 0.000  0.00
5 Al 0.000 0.500 0.500  0.00
6 Al 0.750 0.700 0.372  0.00
7 Al 0.250 0.800 0.872  0.00
8 Al 0.500 0.500 0.500  0.00
9 Al 0.250 0.737 0.076  0.00
10 Al 0.250 0.237 0.424  0.00
11 Al 0.750 0.763 0.576  0.00
12 Al 0.250 0.300 0.628  0.00
13 F 0.750 0.098 0.209  0.06
14 F 0.061 0.413 0.585  0.00
15 F 0.551 0.292 0.161  0.04
16 F 0.439 0.366 0.442  0.00
17 F 0.939 0.587 0.415  0.00
18 F 0.054 0.128 0.415  0.02
19 F 0.561 0.134 0.942  0.00
20 F 0.750 0.598 0.291  0.06
21 F 0.051 0.208 0.661  0.04
22 F 0.250 0.062 0.007  0.00
23 F 0.939 0.087 0.085  0.00
24 F 0.750 0.214 0.827  0.04
25 F 0.949 0.792 0.339  0.04
26 F 0.439 0.413 0.585  0.00
27 F 0.449 0.208 0.661  0.04
28 F 0.949 0.292 0.161  0.04
29 F 0.061 0.913 0.915  0.00
30 F 0.554 0.372 0.915  0.02
31 F 0.061 0.366 0.442  0.00
32 F 0.250 0.562 0.493  0.00
33 F 0.750 0.280 0.032  0.01
34 F 0.250 0.902 0.791  0.06
35 F 0.939 0.634 0.558  0.00
36 F 0.250 0.786 0.173  0.04
37 F 0.439 0.866 0.058  0.00
38 F 0.061 0.866 0.058  0.00
39 F 0.750 0.780 0.468  0.01
40 F 0.561 0.587 0.415  0.00
41 F 0.750 0.438 0.507  0.00
42 F 0.554 0.872 0.585  0.02
43 F 0.446 0.628 0.085  0.02
44 F 0.946 0.372 0.915  0.02
45 F 0.551 0.792 0.339  0.04
46 F 0.250 0.720 0.968  0.01
47 F 0.946 0.872 0.585  0.02
48 F 0.750 0.714 0.673  0.04
49 F 0.561 0.634 0.558  0.00
50 F 0.051 0.708 0.839  0.04
51 F 0.250 0.286 0.327  0.04
52 F 0.250 0.402 0.709  0.06
53 F 0.449 0.708 0.839  0.04
54 F 0.750 0.938 0.993  0.00
55 F 0.250 0.220 0.532  0.01
56 F 0.439 0.913 0.915  0.00
57 F 0.561 0.087 0.085  0.00
58 F 0.054 0.628 0.085  0.02
59 F 0.446 0.128 0.415  0.02
60 F 0.939 0.134 0.942  0.00
61 Cs 0.750 0.618 0.956  0.00
62 Cs 0.750 0.428 0.725  0.00
63 Cs 0.250 0.693 0.682  0.00
64 Cs 0.250 0.072 0.225  0.00
65 Cs 0.750 0.807 0.182  0.00
66 Cs 0.250 0.382 0.044  0.00
67 Cs 0.250 0.882 0.456  0.00
68 Cs 0.250 0.193 0.818  0.00
69 Cs 0.750 0.307 0.318  0.00
70 Cs 0.250 0.572 0.275  0.00
71 Cs 0.750 0.118 0.544  0.00
72 Cs 0.750 0.928 0.775  0.00

Properties
uncorrected formation energy = -83.4 kcal/mol of atoms
density = 3779 kg/m³
space group = Pnma



No. 19
Compound: Cs2AlInF6
Source: the Alexandria database
Functional: SCAN
Structure: single point on PBEsol structure

Cell lengths 6.328, 6.328, 6.328 Å; angles 60.00, 60.00, 60.00 degrees
Fractional coordinates of all 10 atoms:
1 Cs 0.250 0.250 0.250
2 Cs 0.750 0.750 0.750
3 F 0.705 0.295 0.295
4 F 0.705 0.295 0.705
5 F 0.295 0.705 0.705
6 F 0.295 0.295 0.705
7 F 0.705 0.705 0.295
8 F 0.295 0.705 0.295
9 In 0.000 0.000 0.000
10 Al 0.500 0.500 0.500

Properties
uncorrected formation energy = -72.1 kcal/mol of atoms
density = 4835 kg/m³
space group = Fm-3m



No. 20
Compound: Cs2LiAlF6
Source: the Alexandria database
Functional: SCAN
Structure: single point on PBEsol structure

Cell lengths 4.979, 6.139, 6.139 Å; angles 120.01, 90.00, 90.00 degrees
Fractional coordinates of all 10 atoms:
1 Li 0.500 0.000 0.000
2 F 0.222 0.136 0.864
3 F 0.778 0.273 0.136
4 F 0.778 0.864 0.136
5 F 0.222 0.136 0.273
6 F 0.222 0.727 0.864
7 F 0.778 0.864 0.727
8 Cs 0.731 0.333 0.667
9 Cs 0.269 0.667 0.333
10 Al 0.000 0.000 0.000

Properties
uncorrected formation energy = -79.2 kcal/mol of atoms
density = 4228 kg/m³
space group = P-3m1



No. 21
Compound: Cs2NaAlF6
Source: the Alexandria database
Functional: SCAN
Structure: single point on PBEsol structure

Cell lengths 6.049, 6.049, 6.049 Å; angles 60.00, 60.00, 60.00 degrees
Fractional coordinates of all 10 atoms:
1 Al 0.000 0.000 0.000
2 F 0.785 0.215 0.215
3 F 0.215 0.785 0.785
4 F 0.785 0.215 0.785
5 F 0.215 0.215 0.785
6 F 0.785 0.785 0.215
7 F 0.215 0.785 0.215
8 Cs 0.750 0.750 0.750
9 Cs 0.250 0.250 0.250
10 Na 0.500 0.500 0.500

Properties
uncorrected formation energy = -78.4 kcal/mol of atoms
density = 4560 kg/m³
space group = Fm-3m